Record 1
Material: AcSbAsO
Method: DFT, PBE
State: relaxed

abc: 4.312 4.312 10.697
angles: 90.00 90.00 90.00
Positions (direct):
Ac: 0.250 0.250 0.117
Ac: 0.750 0.750 0.883
Sb: 0.250 0.750 0.500
Sb: 0.750 0.250 0.500
As: 0.250 0.250 0.714
As: 0.750 0.750 0.286
O: 0.250 0.750 0.000
O: 0.750 0.250 0.000

Electronic total energy: -5.90 eV per atom
Uncorrected formation energy: -5.780 eV per formula unit
Space-group type: P4/nmm, No. 129


Record 2
Material: Ac2SbAs2O2
Method: DFT, PBE
State: relaxed

abc: 4.288 4.288 12.208
angles: 90.00 90.00 120.00
Positions (direct):
Ac: 0.333 0.667 0.129
Ac: 0.667 0.333 0.871
Sb: 0.000 0.000 0.500
As: 0.000 0.000 0.300
As: 0.000 0.000 0.700
O: 0.333 0.667 0.925
O: 0.667 0.333 0.075

Electronic total energy: -5.97 eV per atom
Uncorrected formation energy: -10.256 eV per formula unit
Space-group type: P-3m1, No. 164


Record 3
Material: Ac4Sb2AsO2
Method: DFT, PBE
State: relaxed

abc: 8.491 8.491 8.188
angles: 110.40 110.40 29.11
Positions (direct):
Ac: 0.031 0.031 0.256
Ac: 0.289 0.289 0.338
Ac: 0.711 0.711 0.662
Ac: 0.969 0.969 0.744
Sb: 0.367 0.367 0.962
Sb: 0.633 0.633 0.038
As: 0.500 0.500 0.500
O: 0.179 0.179 0.485
O: 0.821 0.821 0.515

Electronic total energy: -6.34 eV per atom
Uncorrected formation energy: -17.816 eV per formula unit
Space-group type: C2/m, No. 12


Record 4
Material: AcSc3As4O12
Method: DFT, PBE
State: relaxed

abc: 6.900 6.900 6.900
angles: 105.72 105.72 105.72
Positions (direct):
Ac: 0.000 0.000 0.000
Sc: 0.000 0.579 0.421
Sc: 0.421 0.000 0.579
Sc: 0.579 0.421 0.000
As: 0.104 0.500 0.896
As: 0.500 0.500 0.500
As: 0.500 0.896 0.104
As: 0.896 0.104 0.500
O: 0.010 0.264 0.347
O: 0.059 0.941 0.500
O: 0.264 0.347 0.010
O: 0.324 0.676 0.500
O: 0.347 0.010 0.264
O: 0.500 0.059 0.941
O: 0.500 0.324 0.676
O: 0.653 0.736 0.990
O: 0.676 0.500 0.324
O: 0.736 0.990 0.653
O: 0.941 0.500 0.059
O: 0.990 0.653 0.736

Electronic total energy: -7.14 eV per atom
Uncorrected formation energy: -41.507 eV per formula unit
Space-group type: R32, No. 155


Question: Which of these has the highest uncorrected formation energy?
Answer: AcSbAsO